1.
A PBEsol-optimized structure of La2AlPt, computed with SCAN.

Unit cell a=6.6315 b=6.6315 c=6.6315 alpha=102.64 beta=102.64 gamma=124.21
Sites, in units of the cell vectors:
La (0.0777, 0.1250, 0.4527)
La (0.3750, 0.9223, 0.0473)
La (0.6723, 0.6250, 0.5473)
La (0.8750, 0.3277, 0.9527)
Al (0.2500, 0.7500, 0.5000)
Al (0.5000, 0.5000, 0.0000)
Pt (0.0000, 0.0000, 0.0000)
Pt (0.7500, 0.2500, 0.5000)

Calculated values
Its space-group type is No. 122.

***

2.
A PBEsol-optimized structure of LaAlPt, computed with SCAN.

Unit cell a=7.2223 b=4.4962 c=7.7834 alpha=90.00 beta=90.00 gamma=90.00
Sites, in units of the cell vectors:
La (0.0347, 0.2500, 0.1775)
La (0.4653, 0.7500, 0.6775)
La (0.5347, 0.2500, 0.3225)
La (0.9653, 0.7500, 0.8225)
Al (0.1420, 0.2500, 0.5666)
Al (0.3580, 0.7500, 0.0666)
Al (0.6420, 0.2500, 0.9334)
Al (0.8580, 0.7500, 0.4334)
Pt (0.2141, 0.7500, 0.3850)
Pt (0.2859, 0.2500, 0.8850)
Pt (0.7141, 0.7500, 0.1150)
Pt (0.7859, 0.2500, 0.6150)

Calculated values
Its space-group type is No. 62.

***

no.,electronic total energy (eV/atom),calculated volume (A^3/atom)
1,-41.53,26.6
2,-41.62,21.1